Record 1
BeTcHg3 (PBE, relaxed); E_form = 0.92 eV per atom
1.0
4.673 0.000 0.000
0.000 4.673 0.000
0.000 0.000 4.673
Be Hg Tc
1 3 1
Cartesian
0.000 0.000 0.000
2.337 0.000 0.000
0.000 2.337 0.000
0.000 0.000 2.337
2.337 2.337 2.337

=====

Record 2
CePmAl2 (PBE, relaxed); E_form = -0.32 eV per atom
1.0
3.387 0.000 0.000
0.000 3.387 0.000
0.000 0.000 8.511
Al Ce Pm
2 1 1
Cartesian
0.000 0.000 6.396
0.000 0.000 2.114
1.693 1.693 0.000
1.693 1.693 4.255

=====

Record 3
# CaTi2AgH

Crystalline CaTi2AgH at its relaxed geometry (PBE, Alexandria).

POSCAR file:
```
CaTi2AgH
1.0
5.552 0.000 0.000
0.000 3.449 0.000
0.000 0.000 5.552
H Ag Ti Ca
1 1 2 1
Cartesian
0.000 1.724 0.000
0.000 0.000 0.000
2.776 0.000 0.000
0.000 0.000 2.776
2.776 1.724 2.776
```

=====

no.,total energy (eV per atom)
1,-2.078
2,-4.860
3,-3.867